Compound: AcTbNdTm
Source: Alexandria via LeMat-Bulk
Functional: GGA-PBE
Structure: relaxed

Results
The energy above the most stable polymorph in this dataset comes out at 0.0 meV per atom. The formation energy from the elements is 5.3 kJ per mole of atoms.

Cell: 3.7115 3.7115 11.8692 Å, 90.00 90.00 120.00°
Space group P3m1 (No. 156)
Inequivalent atoms, fractional coordinates:
Ac 0.0000 0.0000 0.0000
Tb 0.3333 0.6667 0.4889
Nd 0.6667 0.3333 0.7317
Tm 0.6667 0.3333 0.2560

=====

Compound: Ce3Pb4Au3
Source: Alexandria via LeMat-Bulk
Functional: GGA-PBE
Structure: relaxed

Results
The formation energy from the elements is -47.8 kJ per mole of atoms.

Cell: 10.2346 10.2346 10.2346 Å, 90.00 90.00 90.00°
Space group I-43d (No. 220)
Inequivalent atoms, fractional coordinates:
Ce 0.0000 0.2500 0.8750
Pb 0.0945 0.4055 0.5945
Au 0.0000 0.2500 0.3750

=====

Compound: LaCoOs
Source: Alexandria via LeMat-Bulk
Functional: GGA-PBE
Structure: relaxed

Results
The energy above the most stable polymorph in this dataset comes out at 1367.4 meV per atom. The formation energy from the elements is 124.4 kJ per mole of atoms.

Cell: 6.3070 6.3070 6.3070 Å, 90.00 90.00 90.00°
Space group F-43m (No. 216)
Inequivalent atoms, fractional coordinates:
La 0.0000 0.0000 0.0000
Co 0.2500 0.2500 0.2500
Os 0.2500 0.2500 0.7500

=====

Compound: MgNiIrPd2
Source: Alexandria via LeMat-Bulk
Functional: GGA-PBE
Structure: relaxed

Results
The formation energy from the elements is 59.9 kJ per mole of atoms.

Cell: 4.6181 4.6181 4.3975 Å, 90.00 90.00 90.00°
Space group P4/mmm (No. 123)
Inequivalent atoms, fractional coordinates:
Mg 0.0000 0.0000 0.0000
Ni 0.5000 0.5000 0.5000
Ir 0.5000 0.5000 0.0000
Pd 0.0000 0.5000 0.5000